[1]
Si2BPdCl | PBE | optimized geometry

a b c (Å): 4.682 4.682 3.701
angles (deg): 90.00 90.00 90.00
Positions (direct):
Si1 0.000 0.500 0.000
Si2 0.500 0.000 0.000
B1 0.000 0.000 0.500
Pd1 0.500 0.500 0.500
Cl1 0.000 0.000 0.000

Summary:
* total energy: -3.477 eV/atom
* formation energy from raw total energies: 7.18 eV/f.u.

[2]
CeScInOs | PBE | optimized geometry

a b c (Å): 3.274 3.274 8.145
angles (deg): 90.00 90.00 90.00
Positions (direct):
Ce1 0.000 0.000 0.000
Sc1 0.000 0.000 0.586
In1 0.500 0.500 0.315
Os1 0.500 0.500 0.773

Summary:
* energy above the most stable polymorph in this dataset: 0 kJ/mol of formula units
* total energy: -6.978 eV/atom